## MgTeSe2 (PBE)

Data for an optimized crystal structure of MgTeSe2.

Unit cell a=7.689 b=7.689 c=7.689 alpha=29.46 beta=29.46 gamma=29.46
Sites, in units of the cell vectors:
1 Se 0.487 0.487 0.487
2 Se 0.013 0.013 0.013
3 Te 0.250 0.250 0.250
4 Mg 0.750 0.750 0.750

Symmetry: R-3m
Offset from the most stable computed form (meV/atom): 193
Formation energy from raw total energies (meV per atom): -290

=====

## LaEuTm2 (PBE)

Data for an optimized crystal structure of LaEuTm2.

Unit cell a=5.786 b=5.786 c=5.786 alpha=60.00 beta=60.00 gamma=60.00
Sites, in units of the cell vectors:
1 La 0.500 0.500 0.500
2 Eu 0.000 0.000 0.000
3 Tm 0.750 0.750 0.750
4 Tm 0.250 0.250 0.250

Symmetry: Fm-3m
Offset from the most stable computed form (meV/atom): 58
Calculated formation energy (eV/f.u.): 0.554

=====

## CdSi2Rh (PBE)

Data for an optimized crystal structure of CdSi2Rh.

Unit cell a=4.761 b=4.761 c=4.761 alpha=129.10 beta=129.10 gamma=74.85
Sites, in units of the cell vectors:
1 Rh 0.750 0.250 0.500
2 Si 0.000 0.000 0.000
3 Si 0.500 0.500 0.000
4 Cd 0.250 0.750 0.500

Symmetry: I4/mmm
Formation energy from raw total energies (meV per atom): 169

=====

no.,theoretical density (g cm⁻³),M_tot (μB per atom)
1,5.3,0.000
2,7.6,1.763
3,7.1,0.000